DFT (PBE) results for a relaxed structure of Pa3AgC.

Values from the calculation:
ρ = 12.4 g cm⁻³
volume = 108.8 Å³/f.u.
energy = -8.13 eV/atom
DFT formation energy = -0.01 eV/atom

Cell and atoms, written as POSCAR:
```
Pa3AgC
1.0
-1.3497 -3.4691 -2.9879
-2.3466 -2.1506 3.5570
-3.9314 2.4747 -1.0973
Pa Ag C
3 1 1
Direct
0.0000 0.0000 0.5000 Pa
0.0000 0.5000 0.0000 Pa
0.5000 0.0000 0.0000 Pa
0.5000 0.5000 0.5000 Ag
0.0000 0.0000 0.0000 C
```